Entry 1:
# CePr4P5, relaxed, DFT GGA-PBE
# E_form: -1.521 eV per atom
data_CePr4P5
_chemical_formula_sum 'Ce2 Pr8 P10'
_symmetry_space_group_name_H-M 'I 4/m'
_symmetry_Int_Tables_number 87
_symmetry_space_group_name_Hall '-I 4'
_cell_length_a 9.342
_cell_length_b 9.342
_cell_length_c 5.911
_cell_angle_alpha 90.00
_cell_angle_beta 90.00
_cell_angle_gamma 90.00
loop_
_atom_site_label
_atom_site_fract_x
_atom_site_fract_y
_atom_site_fract_z
Ce1 0.000 0.000 0.000
Pr1 0.099 0.301 0.500
P1 0.000 0.000 0.500
P2 0.097 0.293 0.000

Entry 2:
# CePr2P3, relaxed, DFT GGA-PBE
# E_form: -1.511 eV per atom
# distance to the lowest polymorph of the same formula: 7 meV per atom
data_CePr2P3
_chemical_formula_sum 'Ce2 Pr4 P6'
_symmetry_space_group_name_H-M 'I 4/m m m'
_symmetry_Int_Tables_number 139
_symmetry_space_group_name_Hall '-I 4 2'
_cell_length_a 4.171
_cell_length_b 4.171
_cell_length_c 17.647
_cell_angle_alpha 90.00
_cell_angle_beta 90.00
_cell_angle_gamma 90.00
loop_
_atom_site_label
_atom_site_fract_x
_atom_site_fract_y
_atom_site_fract_z
Ce1 0.000 0.000 0.000
Pr1 0.000 0.000 0.333
P1 0.000 0.000 0.163
P2 0.000 0.000 0.500

Number 1: uncorrected energy -6.73 eV/atom. Number 2: uncorrected energy -6.80 eV/atom.